# Zr2ReBIr | the Alexandria database | GGA-PBE | relaxed
# E_form = 0.718 eV/atom
# Total magnetization = 0.000 μB per atom
data_Zr2ReBIr
_space_group_name_H-M_alt 'P 4/m m m'
_space_group_IT_number 123
_space_group_name_Hall '-P 4 2'
_cell_length_a 5.0717
_cell_length_b 5.0717
_cell_length_c 3.8828
_cell_angle_alpha 90.00
_cell_angle_beta 90.00
_cell_angle_gamma 90.00
loop_
_atom_site_label
_atom_site_fract_x
_atom_site_fract_y
_atom_site_fract_z
Zr1 0.0000 0.5000 0.0000
Re1 0.0000 0.0000 0.5000
B1 0.5000 0.5000 0.5000
Ir1 0.5000 0.5000 0.0000